CeNpAs2, optimized geometry, DFT GGA-PBE; total energy = -31.81 eV per cell; space group = R3m; excess energy over the best structure of this formula in the dataset = 0.144 eV per atom; total magnetization = 4.94 μB per formula unit
1.0
-1.724 3.150 2.000
0.268 0.229 4.095
5.580 4.829 1.427
As Np Ce
2 1 1
direct
0.079 0.079 0.762 As
0.254 0.254 0.237 As
0.669 0.669 0.994 Np
0.498 0.498 0.506 Ce